Entry 1:
Crystalline NiPSeN2 at its relaxed geometry. Source: Alexandria via LeMat-Bulk, functional PBE.

Computed properties:
Its formation energy (no corrections) is 1.2966 eV/atom. Its energy above the lowest structure with this stoichiometry is 544 meV per atom.

a b c (Å): 3.5106 3.5106 7.5896
angles (deg): 90.00 90.00 90.00
Element x y z (fractional)
N (0.0000, 0.5000, 0.0000)
Ni (0.0000, 0.0000, 0.0000)
P (0.5000, 0.5000, 0.5000)
N (0.5000, 0.0000, 0.0000)
Se (0.0000, 0.0000, 0.5000)

Entry 2:
Crystalline PrNd3Ag3 at its relaxed geometry. Source: Alexandria via LeMat-Bulk, functional PBE.

Computed properties:
Its energy relative to the elements is -0.109 eV/atom. Its energy above the lowest structure with this stoichiometry is 2 meV per atom.

a b c (Å): 7.4498 7.4498 7.3401
angles (deg): 89.93 89.93 92.43
Element x y z (fractional)
Ag (0.4998, 0.9998, 0.7539)
Nd (0.7426, 0.7426, 0.5018)
Ag (0.5002, 0.0002, 0.2461)
Nd (0.2574, 0.2574, 0.4982)
Nd (0.2697, 0.7303, 0.5000)
Ag (0.0002, 0.5002, 0.2461)
Pr (0.3163, 0.3163, 0.9983)
Ag (0.0007, 0.0007, 0.7019)
Pr (0.6837, 0.6837, 0.0017)
Nd (0.7303, 0.2697, 0.5000)
Nd (0.1953, 0.8047, 0.0000)
Ag (0.9998, 0.4998, 0.7539)
Nd (0.8047, 0.1953, 0.0000)
Ag (0.9993, 0.9993, 0.2981)

Entry 3:
Crystalline BaCeHg at its relaxed geometry. Source: Alexandria via LeMat-Bulk, functional PBE.

Computed properties:
Its energy relative to the elements is 0.004 eV/atom. Its energy above the lowest structure with this stoichiometry is 151 meV per atom.

a b c (Å): 4.3833 5.4324 5.4324
angles (deg): 120.00 90.00 90.00
Element x y z (fractional)
Ba (0.6664, 0.3333, 0.6667)
Hg (0.1633, 0.0000, 0.0000)
Ce (0.1703, 0.6667, 0.3333)

Entry 4:
Crystalline Rb3Pd3RuO8 at its relaxed geometry. Source: Alexandria via LeMat-Bulk, functional PBE.

Computed properties:
Its formation energy (no corrections) is -0.8387 eV/atom.

a b c (Å): 6.1915 7.1902 7.0213
angles (deg): 115.02 90.00 115.50
Element x y z (fractional)
Rb (0.0000, 0.5000, 0.0000)
O (0.7822, 0.0474, 0.6982)
Pd (0.0000, 0.5000, 0.5000)
O (0.3156, 0.6312, 0.3978)
Pd (0.5000, 0.0000, 0.5000)
Ru (0.0000, 0.0000, 0.5000)
O (0.2652, 0.0474, 0.6982)
O (0.1759, 0.3517, 0.5895)
Rb (0.0000, 0.0000, 0.0000)
Rb (0.5000, 0.5000, 0.0000)
Pd (0.5000, 0.5000, 0.5000)
O (0.6844, 0.3688, 0.6022)
O (0.2178, 0.9526, 0.3018)
O (0.7348, 0.9526, 0.3018)
O (0.8241, 0.6483, 0.4105)

Number 1: raw total energy -24.8 eV/cell, M_tot 0.3 Bohr magnetons per cell. Number 2: raw total energy -56.8 eV/cell, M_tot 0.0 Bohr magnetons per cell. Number 3: raw total energy -8.1 eV/cell, M_tot 1.3 Bohr magnetons per cell. Number 4: raw total energy -80.0 eV/cell, M_tot 2.4 Bohr magnetons per cell.